Entry 1:
A geometry-optimized AlRe2Hg structure. Source: the Alexandria database, functional GGA-PBE.

abc: 9.436 9.436 9.436
angles: 17.29 17.29 17.29
Positions (direct):
Re  0.994  0.994  0.994
Re  0.506  0.506  0.506
Hg  0.750  0.750  0.750
Al  0.250  0.250  0.250

Properties
Total DFT energy (no corrections) in eV/atom: -6.813
DOS(E_F) in states/eV per atom: 0.789
Crystal system: trigonal
ΔH_f (0 K) in meV per atom: 423


Entry 2:
A geometry-optimized LiTi2CdRh structure. Source: the Alexandria database, functional GGA-PBE.

abc: 4.681 4.732 4.681
angles: 90.00 90.00 90.00
Each line ends with the local moment (μB).
Positions (direct):
Ti  0.000  0.000  0.500  0.07
Ti  0.500  0.000  0.000  0.13
Rh  0.000  0.000  0.000  0.00
Li  0.000  0.500  0.000  0.00
Cd  0.500  0.500  0.500  0.00

Properties
Total DFT energy (no corrections) in eV/atom: -4.947
DOS(E_F) in states/eV per atom: 1.210
Crystal system: tetragonal
ΔH_f (0 K) in meV per atom: 247


Entry 3:
A geometry-optimized Ba2AsRh structure. Source: the Alexandria database, functional GGA-PBE.

abc: 5.177 5.177 4.350
angles: 90.00 90.00 90.09
Positions (direct):
As  0.000  0.500  0.500
Rh  0.500  0.000  0.500
Ba  0.000  0.000  0.000
Ba  0.500  0.500  0.000

Properties
Total DFT energy (no corrections) in eV/atom: -4.318
DOS(E_F) in states/eV per atom: 0.466
Crystal system: orthorhombic
ΔH_f (0 K) in meV per atom: -357


Entry 4:
A geometry-optimized PmPr2Y3As6 structure. Source: the Alexandria database, functional GGA-PBE.

abc: 4.209 8.405 9.399
angles: 102.85 102.94 90.00
Positions (direct):
Pm  0.500  0.000  0.000
Pr  0.834  0.667  0.667
Pr  0.166  0.333  0.333
Y  0.500  0.500  0.000
Y  0.833  0.166  0.666
Y  0.167  0.834  0.334
As  0.332  0.923  0.664
As  0.664  0.589  0.329
As  0.668  0.077  0.336
As  0.997  0.253  0.995
As  0.003  0.747  0.005
As  0.336  0.411  0.671

Properties
Total DFT energy (no corrections) in eV/atom: -6.660
DOS(E_F) in states/eV per atom: 0.147
Crystal system: monoclinic
ΔH_f (0 K) in meV per atom: -1527


Entry 5:
A geometry-optimized LaMn2Fe structure. Source: the Alexandria database, functional GGA-PBE.

abc: 4.063 4.063 5.712
angles: 69.17 69.17 59.97
Each line ends with the local moment (μB).
Positions (direct):
Fe  0.442  0.442  0.674  1.48
La  0.251  0.251  0.248  -0.02
Mn  0.050  0.050  0.849  2.55
Mn  0.757  0.757  0.728  -1.99

Properties
Total DFT energy (no corrections) in eV/atom: -7.728
DOS(E_F) in states/eV per atom: 1.383
Crystal system: trigonal
ΔH_f (0 K) in meV per atom: 204


Entry 6:
A geometry-optimized NdInSnBi structure. Source: the Alexandria database, functional GGA-PBE.

abc: 4.726 4.895 4.925
angles: 90.00 90.00 90.00
Positions (direct):
Nd  0.500  0.000  0.500
In  0.500  0.500  0.000
Sn  0.000  0.000  0.000
Bi  0.000  0.500  0.500

Properties
Total DFT energy (no corrections) in eV/atom: -4.308
DOS(E_F) in states/eV per atom: 0.585
Crystal system: orthorhombic
ΔH_f (0 K) in meV per atom: -461


Entry 7:
A geometry-optimized Ce3Dy2YBi6 structure. Source: the Alexandria database, functional GGA-PBE.

abc: 7.871 7.871 7.859
angles: 99.61 99.61 120.00
Each line ends with the local moment (μB).
Positions (direct):
Ce  0.167  0.833  0.500  0.83
Ce  0.833  0.167  0.500  0.83
Ce  0.500  0.500  0.500  0.83
Dy  0.333  0.667  0.000  -0.01
Dy  0.667  0.333  0.000  -0.01
Y  0.000  0.000  0.000  0.00
Bi  0.919  0.585  0.757  -0.03
Bi  0.747  0.747  0.243  -0.03
Bi  0.081  0.415  0.243  -0.03
Bi  0.585  0.919  0.757  -0.03
Bi  0.253  0.253  0.757  -0.03
Bi  0.415  0.081  0.243  -0.03

Properties
Total DFT energy (no corrections) in eV/atom: -5.564
DOS(E_F) in states/eV per atom: 1.712
Crystal system: monoclinic
ΔH_f (0 K) in meV per atom: -834


Entry 8:
A geometry-optimized VMo2HOs structure. Source: the Alexandria database, functional GGA-PBE.

abc: 3.964 3.964 3.934
angles: 90.00 90.00 90.00
Positions (direct):
H  0.000  0.000  0.000
Mo  0.000  0.500  0.000
Mo  0.500  0.000  0.000
Os  0.500  0.500  0.500
V  0.000  0.000  0.500

Properties
Total DFT energy (no corrections) in eV/atom: -8.999
DOS(E_F) in states/eV per atom: 1.047
Crystal system: tetragonal


Entry 9:
A geometry-optimized AcCd2PPt2 structure. Source: the Alexandria database, functional GGA-PBE.

abc: 4.411 4.411 8.380
angles: 105.26 105.26 90.00
Positions (direct):
Ac  0.500  0.500  0.000
Cd  0.250  0.750  0.500
Cd  0.750  0.250  0.500
P  0.000  0.000  0.000
Pt  0.858  0.858  0.715
Pt  0.142  0.142  0.285

Properties
Total DFT energy (no corrections) in eV/atom: -4.479
DOS(E_F) in states/eV per atom: 0.352
Crystal system: tetragonal
ΔH_f (0 K) in meV per atom: -574


Entry 10:
A geometry-optimized Nd5Er3 structure. Source: the Alexandria database, functional GGA-PBE.

abc: 3.626 3.626 20.374
angles: 90.00 90.00 90.00
Positions (direct):
Nd  0.000  0.000  0.247
Nd  0.500  0.500  0.624
Nd  0.500  0.500  0.376
Nd  0.000  0.000  0.753
Nd  0.000  0.000  0.000
Er  0.500  0.500  0.123
Er  0.500  0.500  0.877
Er  0.000  0.000  0.500

Properties
Total DFT energy (no corrections) in eV/atom: -4.667
DOS(E_F) in states/eV per atom: 1.525
Crystal system: tetragonal
ΔH_f (0 K) in meV per atom: 24


Entry 11:
A geometry-optimized TiCdP3 structure. Source: the Alexandria database, functional GGA-PBE.

abc: 4.719 4.719 4.719
angles: 90.00 90.00 90.00
Positions (direct):
P  0.000  0.500  0.000
P  0.000  0.000  0.500
P  0.500  0.000  0.000
Ti  0.000  0.000  0.000
Cd  0.500  0.500  0.500

Properties
Total DFT energy (no corrections) in eV/atom: -4.787
DOS(E_F) in states/eV per atom: 0.631
Crystal system: cubic
ΔH_f (0 K) in meV per atom: 221


Entry 12:
A geometry-optimized KPm4ErS8 structure. Source: the Alexandria database, functional GGA-PBE.

abc: 8.426 8.426 8.314
angles: 59.55 59.55 60.00
Positions (direct):
K  0.379  0.379  0.864
Pm  0.624  0.624  0.128
Pm  0.004  0.487  0.504
Pm  0.487  0.004  0.504
Pm  0.004  0.004  0.504
Er  0.004  0.004  0.987
S  0.228  0.800  0.744
S  0.800  0.228  0.744
S  0.228  0.228  0.744
S  0.235  0.235  0.294
S  0.762  0.225  0.252
S  0.225  0.762  0.252
S  0.762  0.762  0.252
S  0.758  0.758  0.727

Properties
Total DFT energy (no corrections) in eV/atom: -6.040
DOS(E_F) in states/eV per atom: 0.000
Crystal system: trigonal


Entry 13:
A geometry-optimized Ac2Tb6Dy structure. Source: the Alexandria database, functional GGA-PBE.

abc: 3.642 8.812 10.116
angles: 102.07 90.00 90.00
Positions (direct):
Ac  0.500  0.694  0.462
Ac  0.500  0.306  0.538
Tb  0.000  0.377  0.215
Tb  0.000  0.020  0.676
Tb  0.000  0.623  0.785
Tb  0.500  0.317  0.902
Tb  0.000  0.980  0.324
Tb  0.500  0.683  0.098
Dy  0.000  0.000  0.000

Properties
Total DFT energy (no corrections) in eV/atom: -4.379
DOS(E_F) in states/eV per atom: 1.611
Crystal system: monoclinic
ΔH_f (0 K) in meV per atom: 132


Entry 14:
A geometry-optimized SrCaHgRu2 structure. Source: the Alexandria database, functional GGA-PBE.

abc: 5.187 5.284 5.187
angles: 90.00 90.00 90.00
Each line ends with the local moment (μB).
Positions (direct):
Ru  0.000  0.000  0.500  1.27
Ru  0.500  0.000  0.000  0.89
Ca  0.000  0.500  0.000  -0.04
Hg  0.000  0.000  0.000  0.00
Sr  0.500  0.500  0.500  -0.02

Properties
Total DFT energy (no corrections) in eV/atom: -3.511
DOS(E_F) in states/eV per atom: 1.573
Crystal system: tetragonal
ΔH_f (0 K) in meV per atom: 996


Entry 15:
A geometry-optimized ZrPt2W structure. Source: the Alexandria database, functional GGA-PBE.

abc: 2.874 2.874 8.301
angles: 90.00 90.00 90.00
Positions (direct):
Pt  0.000  0.000  0.006
Pt  0.500  0.500  0.258
W  0.000  0.000  0.480
Zr  0.500  0.500  0.755

Properties
Total DFT energy (no corrections) in eV/atom: -8.732
DOS(E_F) in states/eV per atom: 0.431
Crystal system: tetragonal
ΔH_f (0 K) in meV per atom: -336


Entry 16:
A geometry-optimized SrYAs2S8 structure. Source: the Alexandria database, functional GGA-PBE.

abc: 6.104 6.104 9.296
angles: 90.00 90.00 120.00
Positions (direct):
Sr  0.000  0.000  0.000
Y  0.000  0.000  0.500
As  0.667  0.333  0.241
As  0.333  0.667  0.759
S  0.333  0.667  0.993
S  0.324  0.345  0.303
S  0.655  0.979  0.303
S  0.667  0.333  0.007
S  0.345  0.021  0.697
S  0.676  0.655  0.697
S  0.979  0.324  0.697
S  0.021  0.676  0.303

Properties
Total DFT energy (no corrections) in eV/atom: -4.832
DOS(E_F) in states/eV per atom: 0.999
Crystal system: trigonal


Entry 17:
A geometry-optimized Sr2ScTe structure. Source: the Alexandria database, functional GGA-PBE.

abc: 6.946 6.946 5.559
angles: 66.44 66.44 35.81
Each line ends with the local moment (μB).
Positions (direct):
Sc  0.250  0.250  0.250  0.55
Sr  0.039  0.039  0.961  0.02
Sr  0.461  0.461  0.539  0.02
Te  0.750  0.750  0.750  -0.01

Properties
Total DFT energy (no corrections) in eV/atom: -3.503
DOS(E_F) in states/eV per atom: 0.939
Crystal system: orthorhombic


Entry 18:
A geometry-optimized Sc2TiBiB structure. Source: the Alexandria database, functional GGA-PBE.

abc: 5.081 4.295 5.081
angles: 90.00 90.00 90.00
Positions (direct):
Sc  0.000  0.000  0.500
Sc  0.500  0.000  0.000
B  0.000  0.500  0.000
Bi  0.500  0.500  0.500
Ti  0.000  0.000  0.000

Properties
Total DFT energy (no corrections) in eV/atom: -5.522
DOS(E_F) in states/eV per atom: 1.358
Crystal system: tetragonal
ΔH_f (0 K) in meV per atom: 701


Entry 19:
A geometry-optimized Ca4In12Ag structure. Source: the Alexandria database, functional GGA-PBE.

abc: 8.350 8.350 8.350
angles: 109.47 109.47 109.47
Positions (direct):
Ca  0.000  0.000  0.500
Ca  0.500  0.000  0.000
Ca  0.500  0.500  0.500
Ca  0.000  0.500  0.000
In  0.000  0.291  0.291
In  0.000  0.709  0.709
In  0.709  0.709  0.000
In  0.291  0.291  0.000
In  0.291  0.000  0.291
In  0.709  0.000  0.709
In  0.500  0.250  0.750
In  0.500  0.750  0.250
In  0.750  0.250  0.500
In  0.250  0.750  0.500
In  0.750  0.500  0.250
In  0.250  0.500  0.750
Ag  0.000  0.000  0.000

Properties
Total DFT energy (no corrections) in eV/atom: -2.858
DOS(E_F) in states/eV per atom: 0.561
Crystal system: cubic
ΔH_f (0 K) in meV per atom: -286


Entry 20:
A geometry-optimized AcDy7Y12 structure. Source: the Alexandria database, functional GGA-PBE.

abc: 8.780 8.780 8.780
angles: 87.77 87.77 87.77
Positions (direct):
Ac  0.000  0.000  0.000
Dy  0.845  0.610  0.940
Dy  0.390  0.060  0.155
Dy  0.060  0.155  0.390
Dy  0.500  0.500  0.500
Dy  0.940  0.845  0.610
Dy  0.610  0.940  0.845
Dy  0.155  0.390  0.060
Y  0.855  0.277  0.728
Y  0.723  0.272  0.145
Y  0.621  0.138  0.498
Y  0.862  0.502  0.379
Y  0.272  0.145  0.723
Y  0.502  0.379  0.862
Y  0.498  0.621  0.138
Y  0.728  0.855  0.277
Y  0.138  0.498  0.621
Y  0.379  0.862  0.502
Y  0.277  0.728  0.855
Y  0.145  0.723  0.272

Properties
Total DFT energy (no corrections) in eV/atom: -5.452
DOS(E_F) in states/eV per atom: 2.083
Crystal system: trigonal
ΔH_f (0 K) in meV per atom: 243


Entry 21:
A geometry-optimized BaPtW2 structure. Source: the Alexandria database, functional GGA-PBE.

abc: 5.888 5.888 5.888
angles: 139.59 139.59 58.48
Positions (direct):
W  0.000  0.000  0.000
W  0.500  0.500  0.000
Pt  0.750  0.250  0.500
Ba  0.250  0.750  0.500

Properties
Total DFT energy (no corrections) in eV/atom: -7.173
DOS(E_F) in states/eV per atom: 0.860
Crystal system: tetragonal
ΔH_f (0 K) in meV per atom: 1295


Entry 22:
A geometry-optimized HfTiS2 structure. Source: the Alexandria database, functional GGA-PBE.

abc: 4.916 4.918 10.976
angles: 90.00 90.00 90.00
Positions (direct):
Hf  0.943  0.500  0.342
Hf  0.443  0.500  0.658
Hf  0.443  0.000  0.842
Hf  0.943  0.000  0.158
Ti  0.943  0.500  0.836
Ti  0.443  0.000  0.336
Ti  0.943  0.000  0.664
Ti  0.443  0.500  0.164
S  0.443  0.000  0.105
S  0.443  0.500  0.395
S  0.943  0.000  0.895
S  0.943  0.500  0.605
S  0.943  0.500  0.103
S  0.443  0.500  0.897
S  0.443  0.000  0.603
S  0.943  0.000  0.397

Properties
Total DFT energy (no corrections) in eV/atom: -7.801
DOS(E_F) in states/eV per atom: 0.624
Crystal system: orthorhombic


Entry 23:
A geometry-optimized LaSb2 structure. Source: the Alexandria database, functional GGA-PBE.

abc: 6.359 6.359 10.327
angles: 90.00 90.00 120.00
Each line ends with the local moment (μB).
Positions (direct):
Sb  0.000  0.000  0.000  0.01
Sb  0.000  0.000  0.500  0.01
Sb  0.826  0.652  0.250  -0.01
Sb  0.174  0.348  0.750  -0.01
Sb  0.348  0.174  0.250  -0.01
Sb  0.826  0.174  0.250  -0.01
Sb  0.174  0.826  0.750  -0.01
Sb  0.652  0.826  0.750  -0.01
La  0.333  0.667  0.065  0.13
La  0.667  0.333  0.565  0.13
La  0.667  0.333  0.935  0.13
La  0.333  0.667  0.435  0.13

Properties
Total DFT energy (no corrections) in eV/atom: -4.805
DOS(E_F) in states/eV per atom: 0.939
Crystal system: hexagonal


Entry 24:
A geometry-optimized ZrBTe2N structure. Source: the Alexandria database, functional GGA-PBE.

abc: 5.823 5.823 2.836
angles: 90.00 90.00 90.00
Positions (direct):
B  0.000  0.000  0.000
Te  0.000  0.500  0.000
Te  0.500  0.000  0.000
Zr  0.500  0.500  0.500
N  0.000  0.000  0.500

Properties
Total DFT energy (no corrections) in eV/atom: -5.870
DOS(E_F) in states/eV per atom: 0.556
Crystal system: tetragonal